This record from Alexandria describes crystalline Sr3CaTe4 at its relaxed geometry. The functional is PBE-GGA.

Lattice parameters (Å, degrees): 4.700 8.138 8.138 109.48 90.00 90.00
Atoms (fractional coordinates):
Sr 0.500 0.500 0.500
Te 0.500 0.246 0.754
Sr 0.000 0.000 0.500
Sr 0.000 0.500 0.000
Te 0.000 0.242 0.242
Te 0.500 0.754 0.246
Ca 0.500 0.000 0.000
Te 0.000 0.758 0.758

Calculated values
size of the total moment: 0.00 μB per atom
uncorrected formation energy: -13.72 eV/f.u.
N(E_F): 0.000 states/eV/cell

This record from Alexandria describes crystalline Sr2CaTe at its relaxed geometry. The functional is PBE-GGA.

Lattice parameters (Å, degrees): 6.202 6.202 4.294 90.00 90.00 105.93
Atoms (fractional coordinates):
Sr 0.500 0.500 0.000
Te 0.500 0.000 0.500
Sr 0.000 0.000 0.000
Ca 0.000 0.500 0.500

Calculated values
size of the total moment: 0.00 μB per atom
uncorrected formation energy: -2.11 eV/f.u.
N(E_F): 3.138 states/eV/cell

This record from Alexandria describes crystalline Sr4CaTe at its relaxed geometry. The functional is PBE-GGA.

Lattice parameters (Å, degrees): 7.430 7.430 7.430 60.00 60.00 60.00
Atoms (fractional coordinates):
Ca 0.000 0.000 0.000
Sr 0.375 0.375 0.375
Sr 0.375 0.875 0.375
Sr 0.375 0.375 0.875
Sr 0.875 0.375 0.375
Te 0.750 0.750 0.750

Calculated values
size of the total moment: 0.00 μB per atom
uncorrected formation energy: 0.26 eV/f.u.
N(E_F): 6.628 states/eV/cell

This record from Alexandria describes crystalline Sr2CaTe at its relaxed geometry. The functional is PBE-GGA.

Lattice parameters (Å, degrees): 4.046 4.046 10.249 90.00 90.00 90.03
Atoms (fractional coordinates):
Te 0.000 0.000 0.518
Sr 0.000 0.000 0.985
Sr 0.500 0.500 0.314
Ca 0.500 0.500 0.683

Calculated values
size of the total moment: 0.00 μB per atom
uncorrected formation energy: -2.83 eV/f.u.
N(E_F): 3.041 states/eV/cell

This record from Alexandria describes crystalline SrCa2Te at its relaxed geometry. The functional is PBE-GGA.

Lattice parameters (Å, degrees): 4.332 5.188 7.592 70.04 90.00 90.00
Atoms (fractional coordinates):
Ca 0.500 0.194 0.236
Ca 0.000 0.807 0.010
Sr 0.000 0.528 0.570
Te 0.500 0.971 0.684

Calculated values
size of the total moment: 0.00 μB per atom
uncorrected formation energy: -2.81 eV/f.u.
N(E_F): 2.574 states/eV/cell

This record from Alexandria describes crystalline Sr2CaTe at its relaxed geometry. The functional is PBE-GGA.

Lattice parameters (Å, degrees): 7.506 7.506 6.037 66.29 66.29 32.40
Atoms (fractional coordinates):
Ca 0.195 0.195 0.305
Sr 0.998 0.998 0.002
Sr 0.800 0.800 0.700
Te 0.507 0.507 0.494

Calculated values
size of the total moment: 0.00 μB per atom
uncorrected formation energy: -2.83 eV/f.u.
N(E_F): 1.172 states/eV/cell

This record from Alexandria describes crystalline SrCa4Te at its relaxed geometry. The functional is PBE-GGA.

Lattice parameters (Å, degrees): 7.064 7.064 7.064 60.00 60.00 60.00
Atoms (fractional coordinates):
Te 0.000 0.000 0.000
Ca 0.375 0.875 0.375
Ca 0.375 0.375 0.875
Ca 0.875 0.375 0.375
Sr 0.750 0.750 0.750
Ca 0.375 0.375 0.375

Calculated values
size of the total moment: 0.00 μB per atom
uncorrected formation energy: -0.35 eV/f.u.
N(E_F): 4.954 states/eV/cell

This record from Alexandria describes crystalline Sr2CaTe at its relaxed geometry. The functional is PBE-GGA.

Lattice parameters (Å, degrees): 7.439 7.439 7.439 146.44 131.74 60.07
Atoms (fractional coordinates):
Ca 0.250 0.750 0.500
Te 0.750 0.250 0.500
Sr 0.552 0.552 0.000
Sr 0.948 0.948 0.000

Calculated values
size of the total moment: 0.00 μB per atom
uncorrected formation energy: -2.56 eV/f.u.
N(E_F): 1.061 states/eV/cell

What is the size of the total moment in the sixth record? 0.00 μB per atom

Look up the uncorrected formation energy of the second one. -2.11 eV/f.u.